[1]
{"formula": "TlAu3", "functional": "PBE", "state": "optimized geometry", "lattice_angstrom": [[5.3774, 0.0000, 0.0000], [0.0000, 5.3774, 0.0000], [0.0000, 0.0000, 5.3774]], "species": ["Au", "Au", "Au", "Tl"], "frac_coords": [[0.0000, 0.5000, 0.0000], [0.5000, 0.0000, 0.0000], [0.0000, 0.0000, 0.5000], [0.0000, 0.0000, 0.0000]], "e_form_ev_per_atom": 0.843, "e_tot_ev_per_atom": -2.2066, "crystal_system": "cubic", "dos_ef_per_ev_atom": 0.68}

[2]
{"formula": "Ta2ZnMo", "functional": "PBE", "state": "optimized geometry", "lattice_angstrom": [[9.9619, 0.0166, 0.0097], [9.5525, 2.8266, 0.0097], [9.5525, 1.3918, 2.4602]], "species": ["Mo", "Ta", "Ta", "Zn"], "frac_coords": [[0.7500, 0.7500, 0.7500], [0.9981, 0.9981, 0.9981], [0.5019, 0.5019, 0.5019], [0.2500, 0.2500, 0.2500]], "e_form_ev_per_atom": 0.233, "e_tot_ev_per_atom": -8.7191, "crystal_system": "trigonal", "dos_ef_per_ev_atom": 0.74}

Magnetization (computed, Bohr magnetons per cell): 0.000; 0.000